DFT (GGA-PBE) results for a relaxed structure of CsCuAu.

Lattice parameters (Å, degrees): 5.7006 5.7006 5.7006 60.00 60.00 60.00
Closest atoms and distances in Å follow each position.
Sites, in units of the cell vectors:
1 Cu 0.7500 0.7500 0.7500  4 Cs 3.49
2 Au 0.2500 0.2500 0.2500  4 Cs 3.49
3 Cs 0.0000 0.0000 0.0000  4 Au 3.49, 4 Cu 3.49

Values from the calculation:
crystal system	cubic
relative energy among the computed polymorphs	401	meV/atom
space-group type	F-43m (216)
ρ	4.987	g/cm3